Arrangement P

Density functional theory data (GGA-PBE) for an optimized crystal structure of NdDy4In.

```
12
Lattice="2.438 -7.435 0.000 2.438 7.435 0.000 0.000 0.000 9.941" Properties=species:S:1:pos:R:3 pbc="T T T"
Nd 2.438 4.933 4.970
Nd 2.438 -4.933 0.000
Dy 2.438 7.359 7.533
Dy 2.438 4.959 0.136
Dy 2.438 2.584 7.532
Dy 2.438 0.027 5.043
Dy 2.438 -0.027 0.072
Dy 2.438 -2.584 2.562
Dy 2.438 -4.959 5.107
Dy 2.438 -7.359 2.563
In 2.438 2.439 2.572
In 2.438 -2.439 7.542
```

Output
* theoretical density: 8.4 g cm⁻³

Arrangement Q

Density functional theory data (GGA-PBE) for an optimized crystal structure of NdDy4In.

```
6
Lattice="3.592 0.000 0.000 0.000 3.592 0.000 0.000 0.000 14.304" Properties=species:S:1:pos:R:3 pbc="T T T"
Nd 0.000 0.000 0.000
Dy 0.000 0.000 5.065
Dy 0.000 0.000 9.238
Dy 1.796 1.796 2.565
Dy 1.796 1.796 11.738
In 1.796 1.796 7.152
```

Output
* theoretical density: 8.2 g cm⁻³

Most stable: arrangement Q. Least stable: arrangement P.

Arrangement P

Density functional theory data (GGA-PBE) for an optimized crystal structure of Nd3Dy6In.

```
20
Lattice="9.745 0.000 0.000 0.000 5.623 0.000 -4.391 0.000 11.671" Properties=species:S:1:pos:R:3 pbc="T T T"
Nd -1.417 1.406 4.397
Nd 0.018 4.217 2.600
Nd -1.641 1.406 11.383
Nd 6.995 4.217 0.287
Nd 5.336 1.406 9.070
Nd 6.771 4.217 7.274
Dy -3.701 4.217 10.842
Dy -0.996 1.406 7.850
Dy 0.359 4.217 6.008
Dy 2.073 1.406 3.524
Dy -0.216 4.217 9.651
Dy 3.546 4.217 1.612
Dy 1.807 1.406 10.058
Dy 5.570 1.406 2.019
Dy 3.280 4.217 8.147
Dy 4.995 1.406 5.663
Dy 6.350 4.217 3.821
Dy 9.055 1.406 0.829
In 1.999 1.406 6.839
In 3.355 4.217 4.832
```

Output
* theoretical density: 7.9 g cm⁻³

Arrangement Q

Density functional theory data (GGA-PBE) for an optimized crystal structure of Nd3Dy6In.

```
20
Lattice="13.001 0.000 0.000 0.000 3.570 0.000 -4.689 0.000 13.800" Properties=species:S:1:pos:R:3 pbc="T T T"
Nd -1.732 0.892 5.460
Nd 0.218 0.892 13.800
Nd 3.282 0.892 8.165
Nd 5.031 2.677 5.636
Nd 8.095 2.677 0.001
Nd 10.045 2.677 8.340
Dy 1.644 2.677 0.320
Dy -1.948 0.892 11.187
Dy 0.016 0.892 8.269
Dy 1.410 2.677 5.380
Dy 3.297 0.892 3.004
Dy 1.285 2.677 10.897
Dy 7.028 0.892 2.904
Dy 5.016 2.677 10.796
Dy 6.903 0.892 8.420
Dy 8.297 2.677 5.531
Dy 10.260 2.677 2.613
Dy 6.669 0.892 13.480
In 0.096 0.892 2.669
In 8.217 2.677 11.131
```

Output
* theoretical density: 7.9 g cm⁻³

Most stable: arrangement P. Least stable: arrangement Q.

Arrangement P

Density functional theory data (GGA-PBE) for an optimized crystal structure of Nd5Dy2In.

```
8
Lattice="-2.505 2.505 10.288 2.505 -2.505 10.288 2.505 2.505 -10.288" Properties=species:S:1:pos:R:3 pbc="T T T"
Nd 0.000 0.000 0.000
Nd 2.505 0.000 2.530
Nd 2.505 0.000 7.758
Nd 0.000 2.505 2.530
Nd 0.000 2.505 7.758
Dy 0.000 0.000 5.113
Dy 0.000 0.000 15.463
In 0.000 0.000 10.288
```

Output
* theoretical density: 7.5 g cm⁻³

Arrangement Q

Density functional theory data (GGA-PBE) for an optimized crystal structure of Nd5Dy2In.

```
8
Lattice="-3.781 3.781 4.473 3.781 -3.781 4.473 3.781 3.781 -4.473" Properties=species:S:1:pos:R:3 pbc="T T T"
Nd 0.000 0.000 0.000
Nd 2.060 2.060 -1.778
Nd 1.720 -1.720 2.695
Nd -1.720 1.720 2.695
Nd 1.720 1.720 2.695
Dy 3.781 0.000 0.450
Dy 0.000 3.781 0.450
In 0.000 0.000 5.154
```

Output
* theoretical density: 7.5 g cm⁻³

Most stable: arrangement P. Least stable: arrangement Q.

Arrangement P

Density functional theory data (GGA-PBE) for an optimized crystal structure of Nd2Dy4In.

```
14
Lattice="6.511 0.000 0.000 0.000 11.926 0.000 -2.819 0.000 5.765" Properties=species:S:1:pos:R:3 pbc="T T T"
Nd 0.278 0.247 1.898
Nd -1.132 5.716 4.781
Nd 4.824 6.211 0.984
Nd 3.415 11.679 3.867
Dy -1.316 2.357 4.787
Dy 0.094 3.606 1.904
Dy 1.771 8.640 1.065
Dy 0.362 9.250 3.948
Dy 3.331 2.677 1.818
Dy 1.921 3.287 4.700
Dy 3.599 8.320 3.861
Dy 5.008 9.569 0.979
In 3.256 0.000 0.000
In 1.846 5.963 2.883
```

Output
* theoretical density: 7.8 g cm⁻³

Arrangement Q

Density functional theory data (GGA-PBE) for an optimized crystal structure of Nd2Dy4In.

```
7
Lattice="1.815 1.048 19.623 -1.815 1.048 19.623 0.000 -2.096 19.623" Properties=species:S:1:pos:R:3 pbc="T T T"
Nd 0.000 0.000 11.365
Nd 0.000 0.000 47.504
Dy 0.000 0.000 5.346
Dy 0.000 0.000 17.133
Dy 0.000 0.000 41.737
Dy 0.000 0.000 53.524
In 0.000 0.000 0.000
```

Output
* theoretical density: 7.8 g cm⁻³

Most stable: arrangement Q. Least stable: arrangement P.

Arrangement P

Density functional theory data (GGA-PBE) for an optimized crystal structure of Nd3DyIn.

```
10
Lattice="-5.661 4.266 3.490 5.661 -4.266 3.490 5.661 4.266 -3.490" Properties=species:S:1:pos:R:3 pbc="T T T"
Nd 0.222 2.126 0.000
Nd 5.440 2.126 0.000
Nd 2.831 3.667 1.464
Nd 0.222 2.140 3.490
Nd 5.440 2.140 3.490
Nd 2.831 0.599 4.953
Dy 8.492 2.131 -0.793
Dy -2.831 2.134 2.697
In 8.492 -0.521 1.356
In 2.831 0.521 1.356
```

Output
* theoretical density: 7.0 g cm⁻³

Arrangement Q

Density functional theory data (GGA-PBE) for an optimized crystal structure of Nd3DyIn.

```
10
Lattice="2.459 -12.882 0.000 2.459 12.882 0.000 0.000 0.000 4.921" Properties=species:S:1:pos:R:3 pbc="T T T"
Nd 2.459 11.504 3.691
Nd 2.459 6.421 3.691
Nd 2.459 1.421 3.691
Nd 2.459 -1.421 1.230
Nd 2.459 -6.421 1.230
Nd 2.459 -11.504 1.230
Dy 2.459 3.906 1.230
Dy 2.459 -3.906 3.691
In 2.459 8.930 1.230
In 2.459 -8.930 3.691
```

Output
* theoretical density: 7.6 g cm⁻³

Most stable: arrangement Q. Least stable: arrangement P.

Arrangement P

Density functional theory data (GGA-PBE) for an optimized crystal structure of Nd2Dy3In4.

```
9
Lattice="4.615 -2.669 0.000 4.615 2.669 0.000 -0.026 0.000 10.444" Properties=species:S:1:pos:R:3 pbc="T T T"
Nd 1.536 0.000 2.912
Nd 7.667 0.000 7.532
Dy 1.512 0.000 9.665
Dy 4.602 0.000 5.222
Dy 7.691 0.000 0.779
In 1.518 0.000 6.274
In 4.613 0.000 1.562
In 4.590 0.000 8.882
In 7.685 0.000 4.170
```

Output
* theoretical density: 8.0 g cm⁻³

Arrangement Q

Density functional theory data (GGA-PBE) for an optimized crystal structure of Nd2Dy3In4.

```
18
Lattice="3.538 -8.421 0.000 3.538 8.421 0.000 0.000 0.000 9.068" Properties=species:S:1:pos:R:3 pbc="T T T"
Nd 3.538 6.603 8.358
Nd 3.538 1.818 3.824
Nd 3.538 -1.818 5.244
Nd 3.538 -6.603 0.710
Dy 0.000 0.000 4.534
Dy 1.769 3.706 6.801
Dy 1.769 -3.706 2.267
Dy 3.538 0.000 0.000
Dy 5.307 3.706 6.801
Dy 5.307 -3.706 2.267
In 3.538 5.361 4.890
In 1.769 0.641 6.801
In 1.769 -0.641 2.267
In 3.538 3.060 0.356
In 3.538 -3.060 8.711
In 5.307 0.641 6.801
In 5.307 -0.641 2.267
In 3.538 -5.361 4.178
```

Output
* theoretical density: 7.6 g cm⁻³

Most stable: arrangement P. Least stable: arrangement Q.

Arrangement P

Density functional theory data (GGA-PBE) for an optimized crystal structure of Nd3DyIn3.

```
14
Lattice="9.592 0.000 0.000 -4.796 8.307 0.000 0.000 0.000 5.247" Properties=species:S:1:pos:R:3 pbc="T T T"
Nd -1.127 1.990 1.312
Nd -2.509 8.288 1.312
Nd 1.160 1.971 3.935
Nd 3.636 6.335 1.312
Nd 7.305 0.019 3.935
Nd 5.923 6.317 3.935
Dy 0.000 5.538 1.312
Dy 4.796 2.769 3.935
In -1.497 3.819 3.935
In -0.740 7.694 3.935
In 2.558 3.206 1.312
In 2.237 5.101 3.935
In 5.536 0.613 1.312
In 6.293 4.488 1.312
```

Output
* theoretical density: 7.5 g cm⁻³

Arrangement Q

Density functional theory data (GGA-PBE) for an optimized crystal structure of Nd3DyIn3.

```
28
Lattice="9.532 0.000 0.000 0.000 9.532 0.000 0.000 0.000 9.532" Properties=species:S:1:pos:R:3 pbc="T T T"
Nd 0.664 4.102 5.430
Nd 1.633 7.899 3.133
Nd 1.676 1.676 1.676
Nd 3.090 7.856 6.442
Nd 3.133 1.633 7.899
Nd 4.102 5.430 0.664
Nd 5.430 0.664 4.102
Nd 6.398 6.398 6.398
Nd 6.442 3.090 7.856
Nd 7.856 6.442 3.090
Nd 7.899 3.133 1.633
Nd 8.868 8.868 8.868
Dy 0.730 5.496 8.802
Dy 4.036 4.036 4.036
Dy 5.496 8.802 0.730
Dy 8.802 0.730 5.496
In 0.029 2.434 8.277
In 1.255 4.795 2.331
In 2.331 1.255 4.795
In 2.434 8.277 0.029
In 3.511 4.736 7.097
In 4.736 7.097 3.511
In 4.795 2.331 1.255
In 6.021 9.502 7.200
In 7.097 3.511 4.736
In 7.200 6.021 9.502
In 8.277 0.029 2.434
In 9.502 7.200 6.021
```

Output
* theoretical density: 7.2 g cm⁻³

Most stable: arrangement Q. Least stable: arrangement P.

Arrangement P

Density functional theory data (GGA-PBE) for an optimized crystal structure of PmNdDyIn.

```
4
Lattice="0.000 3.922 3.922 3.922 0.000 3.922 3.922 3.922 0.000" Properties=species:S:1:pos:R:3 pbc="T T T"
Pm 0.000 0.000 0.000
Nd 5.883 5.883 5.883
Dy 1.961 1.961 1.961
In 3.922 3.922 3.922
```

Output
* theoretical density: 7.8 g cm⁻³

Arrangement Q

Density functional theory data (GGA-PBE) for an optimized crystal structure of PmNdDyIn.

```
4
Lattice="-2.432 2.432 5.058 2.432 -2.432 5.058 2.432 2.432 -5.058" Properties=species:S:1:pos:R:3 pbc="T T T"
Pm 0.000 0.000 0.000
Nd 0.000 2.432 2.529
Dy 0.000 0.000 5.058
In 2.432 0.000 2.529
```

Output
* theoretical density: 7.9 g cm⁻³

Most stable: arrangement Q. Least stable: arrangement P.

Arrangement P

Density functional theory data (GGA-PBE) for an optimized crystal structure of NdDyTmIn.

```
4
Lattice="0.000 3.879 3.879 3.879 0.000 3.879 3.879 3.879 0.000" Properties=species:S:1:pos:R:3 pbc="T T T"
Nd 0.000 0.000 0.000
Dy 3.879 3.879 3.879
Tm 1.939 1.939 1.939
In 5.818 5.818 5.818
```

Output
* theoretical density: 8.4 g cm⁻³

Arrangement Q

Density functional theory data (GGA-PBE) for an optimized crystal structure of NdDyTmIn.

```
4
Lattice="0.000 3.869 3.869 3.869 0.000 3.869 3.869 3.869 0.000" Properties=species:S:1:pos:R:3 pbc="T T T"
Nd 0.000 0.000 0.000
Dy 1.935 1.935 1.935
Tm 5.804 5.804 5.804
In 3.869 3.869 3.869
```

Output
* theoretical density: 8.5 g cm⁻³

Most stable: arrangement P. Least stable: arrangement Q.

Arrangement P

Density functional theory data (GGA-PBE) for an optimized crystal structure of Dy3InNi.

```
10
Lattice="5.275 0.000 0.000 -0.005 6.934 0.000 -0.011 -0.187 7.222" Properties=species:S:1:pos:R:3 pbc="T T T"
Dy 0.000 0.000 0.000
Dy -0.004 0.769 3.673
Dy -0.001 3.293 0.896
Dy 2.626 1.983 5.885
Dy 2.637 5.329 1.995
Dy 5.258 4.122 4.540
In 2.621 5.541 5.566
In 2.636 1.610 1.755
Ni 0.001 5.515 2.248
Ni 2.621 3.283 3.712
```

Output
* theoretical density: 8.3 g cm⁻³

Arrangement Q

Density functional theory data (GGA-PBE) for an optimized crystal structure of Dy3InNi.

```
10
Lattice="5.827 -2.586 0.000 5.827 2.586 0.000 -4.154 0.000 8.618" Properties=species:S:1:pos:R:3 pbc="T T T"
Dy 0.370 0.000 2.285
Dy -1.145 0.000 5.769
Dy 4.076 0.000 0.594
Dy 3.424 0.000 8.025
Dy 8.645 0.000 2.850
Dy 7.130 0.000 6.333
In 2.398 0.000 4.888
In 5.101 0.000 3.730
Ni -2.758 0.000 8.350
Ni 10.258 0.000 0.268
```

Output
* theoretical density: 8.5 g cm⁻³

Arrangement R

Density functional theory data (GGA-PBE) for an optimized crystal structure of Dy3InNi.

```
5
Lattice="5.183 0.000 0.000 0.000 5.183 0.000 0.000 0.000 5.183" Properties=species:S:1:pos:R:3 pbc="T T T"
Dy 0.000 0.000 2.592
Dy 0.000 2.592 0.000
Dy 2.592 0.000 0.000
In 2.592 2.592 2.592
Ni 0.000 0.000 0.000
```

Output
* theoretical density: 7.9 g cm⁻³

Most stable: arrangement Q. Least stable: arrangement R.